DFT (GGA-PBE) results for a relaxed structure of B2As2Se.

The structure in CIF format:
```
data_B2As2Se
_cell_length_a 6.592
_cell_length_b 6.592
_cell_length_c 3.355
_cell_angle_alpha 90.00
_cell_angle_beta 90.00
_cell_angle_gamma 90.00
_space_group_name_H-M_alt 'P 4/m b m'
_space_group_IT_number 127
_space_group_name_Hall '-P 4 2ab'
loop_
_atom_site_label
_atom_site_type_symbol
_atom_site_fract_x
_atom_site_fract_y
_atom_site_fract_z
_atom_site_occupancy
B1 B 0.092 0.408 0.000 1
As1 As 0.160 0.660 0.500 1
Se1 Se 0.000 0.000 0.000 1
```

Summary:
The calculation puts the total energy at -4.1217 eV/atom. As for the crystal system: tetragonal.